A plane-wave DFT calculation with meta-GGA SCAN was carried out for a crystal of Sr2BeH2 relaxed with PBEsol.

```
Sr2BeH2
1.0
-3.545 -3.015 -2.416
4.762 -1.956 1.143
0.499 -3.608 3.771
Sr H Be
2 2 1
direct
0.250 0.500 0.250
0.750 0.500 0.750
0.193 0.386 0.807
0.807 0.614 0.193
0.000 0.000 0.000
```

Calculated values
ρ in kg/m3: 3000
Space group: I4/mmm (139)
VASP energy in eV/atom: -11.175



A plane-wave DFT calculation with meta-GGA SCAN was carried out for a crystal of TaBeH relaxed with PBEsol.

```
TaBeH
1.0
3.435 0.000 0.000
0.000 3.420 0.000
0.000 1.710 4.586
H Ta Be
2 2 2
direct
0.750 0.753 0.494
0.250 0.247 0.506
0.250 0.857 0.287
0.750 0.143 0.713
0.250 0.562 0.875
0.750 0.438 0.125
```

Calculated values
ρ in kg/m3: 11772
Space group: Cmcm (63)
VASP energy in eV/atom: -25.086



A plane-wave DFT calculation with meta-GGA SCAN was carried out for a crystal of BeTc2TeH relaxed with PBEsol.

```
BeTc2TeH
1.0
4.115 0.000 0.000
0.000 4.115 0.000
0.000 0.000 4.417
Tc H Be Te
2 1 1 1
direct
0.000 0.500 0.000
0.500 0.000 0.000
0.500 0.500 0.500
0.000 0.000 0.000
0.000 0.000 0.500
```

Calculated values
ρ in kg/m3: 7407
Space group: P4/mmm (123)
VASP energy in eV/atom: -21.533



A plane-wave DFT calculation with meta-GGA SCAN was carried out for a crystal of BeTe2H relaxed with PBEsol.

```
BeTe2H
1.0
3.445 0.000 0.000
1.722 2.983 0.000
1.722 0.994 7.578
Te H Be
2 1 1
direct
0.900 0.900 0.301
0.100 0.100 0.699
0.500 0.500 0.500
0.000 0.000 0.000
```

Calculated values
ρ in kg/m3: 5656
Space group: R-3m (166)
VASP energy in eV/atom: -19.773



A plane-wave DFT calculation with meta-GGA SCAN was carried out for a crystal of Ti3BeH relaxed with PBEsol.

```
Ti3BeH
1.0
-0.976 -0.786 -3.707
-2.003 -3.143 1.194
-3.217 2.195 0.382
Ti Be H
3 1 1
direct
0.000 0.000 0.500
0.000 0.500 0.000
0.500 0.000 0.000
0.500 0.500 0.500
0.000 0.000 0.000
```

Calculated values
ρ in kg/m3: 4257
Space group: Pm-3m (221)
VASP energy in eV/atom: -11.357



A plane-wave DFT calculation with meta-GGA SCAN was carried out for a crystal of Ti2BeH2 relaxed with PBEsol.

```
Ti2BeH2
1.0
3.211 0.000 0.000
0.000 3.211 0.000
-1.605 -1.605 4.460
Ti H Be
2 2 1
direct
0.646 0.646 0.291
0.354 0.354 0.709
0.250 0.750 0.500
0.750 0.250 0.500
0.000 0.000 0.000
```

Calculated values
ρ in kg/m3: 3856
Space group: I4/mmm (139)
VASP energy in eV/atom: -8.984